Tb4Tl3Cd PBE relaxed; total DFT energy (no corrections) = -3.62 eV/atom; offset from the most stable computed form = 1.15 kcal/mol of atoms; DOS at the Fermi energy = 6.94 states/eV/cell; magnetic moment = 0.0 μB/cell
1.0
-3.4471 -0.0610 -1.7151
2.1612 -0.6060 -4.3222
-0.4985 -11.9574 1.4271
Tb Tl Cd
4 3 1
Direct
0.5000 0.0000 0.6514
0.5000 0.5000 0.3458
0.0000 0.5000 0.8514
0.0000 0.0000 0.1510
0.5000 0.0000 0.9184
0.0000 0.0000 0.4138
0.0000 0.5000 0.5879
0.5000 0.5000 0.0803